[1]
Computed, not measured: an optimized crystal structure of CsNbP2 at the GGA-PBEsol level of DFT.

## Properties
V (A^3/atom): 20.27
SG: Fm-3m, No. 225
Calculated formation energy (meV/atom): 724.3

Cell and atoms, written as POSCAR:
```
CsNbP2
1.0
4.8582 0.0000 0.0000
2.4291 4.2074 0.0000
2.4291 1.4025 3.9667
Cs P Nb
1 2 1
Direct
0.5000 0.5000 0.5000 Cs
0.7500 0.7500 0.7500 P
0.2500 0.2500 0.2500 P
0.0000 0.0000 0.0000 Nb
```

[2]
Computed, not measured: an optimized crystal structure of MgCoTe2I at the GGA-PBEsol level of DFT.

## Properties
V (A^3/atom): 31.56
SG: P4/mmm, No. 123
Formation energy from raw total energies (eV/atom): 0.836

Cell and atoms, written as POSCAR:
```
MgCoTe2I
1.0
-0.1533 -1.1660 -5.2515
5.1210 -1.6403 0.2148
-1.6680 -5.0540 1.1709
Co Mg Te I
1 1 2 1
Direct
0.5000 0.5000 0.5000 Co
0.0000 0.0000 0.0000 Mg
0.0000 0.5000 0.0000 Te
0.5000 0.0000 0.0000 Te
0.0000 0.0000 0.5000 I
```